## Hf2MnCrO (PBE+U)

Data for an optimized crystal structure of Hf2MnCrO.

a = 4.386 Å, b = 4.386 Å, c = 4.359 Å
α = 90.00°, β = 90.00°, γ = 90.00°
Sites, in units of the cell vectors:
Hf 0.000 0.500 0.000
Hf 0.500 0.000 0.000
Mn 0.000 0.000 0.500
Cr 0.500 0.500 0.500
O 0.000 0.000 0.000

As for the space group: P4/mmm (123). The final energy comes out at -8.50 eV per atom.